Entry 1:
A geometry-optimized RbPaSe4 structure, computed with PBE-GGA.

Properties
spin magnetization	0.0	μB per formula unit
E_form (uncorrected)	-1099.7	meV per atom
distance to the lowest polymorph of the same formula	0.00	eV/f.u.

Structure (extended XYZ):
```
12
Lattice="-7.3931 -1.5836 -1.2043 1.5624 -1.8459 -7.1642 1.0795 -5.9846 5.7677" Properties=species:S:1:pos:R:3 pbc="T T T"
Rb -0.5661 -3.0221 0.6552
Rb -4.1852 -6.3919 -3.2560
Pa -3.7295 -7.4751 1.1127
Pa -1.0217 -1.9389 -3.7135
Se -4.4557 -5.0658 0.3335
Se -3.3348 -2.4123 -2.0949
Se 0.4033 -0.4765 -1.8495
Se -2.1999 -6.0761 3.0868
Se -0.2956 -4.3483 -2.9344
Se -1.4164 -7.0018 -0.5059
Se 1.1591 -1.3694 -5.3147
Se -2.5513 -3.3380 -5.6877
```


Entry 2:
A geometry-optimized PaCo7Sn2As2 structure, computed with PBE-GGA.

Properties
spin magnetization	1.1	μB per formula unit
ΔE_f	-0.07	eV/atom

Structure (extended XYZ):
```
12
Lattice="-2.7352 -1.8720 -1.6155 -1.2979 -0.9420 3.3202 -9.0970 10.5406 0.6630" Properties=species:S:1:pos:R:3 pbc="T T T"
Pa 0.0000 0.0000 0.0000
Co -2.0166 -1.4070 0.8523
Co -5.2702 3.3188 0.9094
Co -7.8599 4.4078 1.4583
Co -4.4930 -0.7387 0.0693
Co -3.7765 -0.2750 2.5298
Co -9.3537 8.0017 -0.1621
Co -8.6372 8.4653 2.2984
Sn -7.1815 1.8096 1.7503
Sn -5.9486 5.9171 0.6174
As -9.1944 6.3445 1.4820
As -3.9358 1.3822 0.8857
```


Entry 3:
A geometry-optimized Tb2PmTcN4 structure, computed with PBE-GGA.

Properties
spin magnetization	0.0	μB per formula unit
E_form (uncorrected)	-1069.9	meV per atom

Structure (extended XYZ):
```
16
Lattice="3.4635 0.0000 0.0000 -1.7317 5.8687 0.0000 0.0000 0.0000 11.6646" Properties=species:S:1:pos:R:3 pbc="T T T"
Tb 0.0000 4.3255 6.2992
Tb 1.7317 1.5433 0.4669
Tb 1.7317 1.5433 5.3654
Tb 0.0000 4.3255 11.1977
Pm 0.0000 1.4616 8.7484
Pm 1.7317 4.4071 2.9161
Tc 1.7317 4.2190 8.7484
Tc 0.0000 1.6497 2.9161
N 0.0000 3.1045 1.5111
N 1.7317 2.7642 7.3433
N 1.7317 2.7642 10.1535
N 0.0000 3.1045 4.3212
N 0.0000 0.0000 5.8323
N 0.0000 0.0000 0.0000
N 0.0000 5.1696 8.7484
N 1.7317 0.6991 2.9161
```